[1]
A plane-wave DFT calculation with PBE-GGA was carried out for Er2Ga12Ni after structural relaxation.

Results
- volume (Å³ per cell) = 554
- symmetry = No. 125

Lattice parameters (Å, degrees): 6.0282 6.0282 15.2424 90.00 90.00 90.00
Last column: nearest neighbours and their distance in Å.
Element x y z (fractional)
1 Er 0.5000 0.0000 0.2401  14 Ga 3.13-3.41
2 Er 0.0000 0.5000 0.2401  14 Ga 3.13-3.41
3 Er 0.0000 0.5000 0.7599  14 Ga 3.13-3.41
4 Er 0.5000 0.0000 0.7599  14 Ga 3.13-3.41
5 Ga 0.5000 0.5000 0.8142  5 Ga 2.42-2.63
6 Ga 0.0000 0.0000 0.8142  5 Ga 2.42-2.63
7 Ga 0.7503 0.7497 0.9148  2 Ni 2.49-2.50, 3 Ga 2.60-2.63
8 Ga 0.2503 0.7503 0.9148  2 Ni 2.49-2.50, 3 Ga 2.60-2.63
9 Ga 0.0000 0.0000 0.3444  5 Ga 2.42-2.60
10 Ga 0.2497 0.7497 0.0852  2 Ni 2.49-2.50, 3 Ga 2.60-2.63
11 Ga 0.8345 0.3345 0.5699  4 Ga 2.57-2.82
12 Ga 0.5000 0.5000 0.3444  5 Ga 2.42-2.60
13 Ga 0.2497 0.2503 0.9148  2 Ni 2.49-2.50, 3 Ga 2.60-2.63
14 Ga 0.7497 0.7503 0.0852  2 Ni 2.49-2.50, 3 Ga 2.60-2.63
15 Ga 0.3345 0.1655 0.5699  4 Ga 2.57-2.82
16 Ga 0.6655 0.1655 0.4301  4 Ga 2.57-2.82
17 Ga 0.0000 0.0000 0.6556  5 Ga 2.42-2.60
18 Ga 0.1655 0.3345 0.4301  4 Ga 2.57-2.82
19 Ga 0.2503 0.2497 0.0852  2 Ni 2.49-2.50, 3 Ga 2.60-2.63
20 Ga 0.8345 0.6655 0.4301  4 Ga 2.57-2.82
21 Ga 0.6655 0.8345 0.5699  4 Ga 2.57-2.82
22 Ga 0.0000 0.0000 0.1858  5 Ga 2.42-2.63
23 Ga 0.1655 0.6655 0.5699  4 Ga 2.57-2.82
24 Ga 0.5000 0.5000 0.6556  5 Ga 2.42-2.60
25 Ga 0.7497 0.2497 0.9148  2 Ni 2.49-2.50, 3 Ga 2.60-2.63
26 Ga 0.5000 0.5000 0.1858  5 Ga 2.42-2.63
27 Ga 0.3345 0.8345 0.4301  4 Ga 2.57-2.82
28 Ga 0.7503 0.2503 0.0852  2 Ni 2.49-2.50, 3 Ga 2.60-2.63
29 Ni 0.5000 0.0000 0.0000  8 Ga 2.49-2.50
30 Ni 0.0000 0.5000 0.0000  8 Ga 2.49-2.50


[2]
A plane-wave DFT calculation with PBE-GGA was carried out for Er2Ga3Ni4 after structural relaxation.

Results
- volume (Å³ per cell) = 281
- symmetry = No. 64

Lattice parameters (Å, degrees): 5.3427 7.0726 7.9069 90.00 109.75 90.00
Last column: nearest neighbours and their distance in Å.
Element x y z (fractional)
1 Er 0.1056 0.5869 0.2112  5 Ni 2.79-3.00, 2 Ga 2.97
2 Er 0.8944 0.4131 0.7888  5 Ni 2.79-3.00, 2 Ga 2.97
3 Er 0.3944 0.0869 0.7888  5 Ni 2.79-3.00, 2 Ga 2.97
4 Er 0.6056 0.9131 0.2112  5 Ni 2.79-3.00, 2 Ga 2.97
5 Ga 0.0000 0.0000 0.0000  6 Ni 2.44-2.58
6 Ga 0.5000 0.5000 0.0000  6 Ni 2.44-2.58
7 Ga 0.5162 0.7500 0.5323  5 Ni 2.46-2.55, 2 Ga 2.67
8 Ga 0.9838 0.2500 0.4677  5 Ni 2.46-2.55, 2 Ga 2.67
9 Ga 0.4838 0.2500 0.4677  5 Ni 2.46-2.55, 2 Ga 2.67
10 Ga 0.0162 0.7500 0.5323  5 Ni 2.46-2.55, 2 Ga 2.67
11 Ni 0.6815 0.7500 0.8629  3 Ga 2.44-2.46, 2 Ni 2.67
12 Ni 0.8185 0.2500 0.1371  3 Ga 2.44-2.46, 2 Ni 2.67
13 Ni 0.3185 0.2500 0.1371  3 Ga 2.44-2.46, 2 Ni 2.67
14 Ni 0.1815 0.7500 0.8629  3 Ga 2.44-2.46, 2 Ni 2.67
15 Ni 0.1730 0.9872 0.3461  5 Ga 2.46-2.58
16 Ni 0.8270 0.0128 0.6539  5 Ga 2.46-2.58
17 Ni 0.3270 0.4872 0.6539  5 Ga 2.46-2.58
18 Ni 0.6730 0.5128 0.3461  5 Ga 2.46-2.58


[3]
A plane-wave DFT calculation with PBE-GGA was carried out for ErGa2Ni3 after structural relaxation.

Results
- volume (Å³ per cell) = 178
- symmetry = No. 194

Lattice parameters (Å, degrees): 4.1295 4.1295 12.0620 90.00 90.00 120.00
Last column: nearest neighbours and their distance in Å.
Element x y z (fractional)
1 Er 0.0000 0.0000 0.2500  8 Ni 2.84-3.02, 6 Ga 3.12
2 Er 0.0000 0.0000 0.7500  8 Ni 2.84-3.02, 6 Ga 3.12
3 Ga 0.6667 0.3333 0.4170  7 Ni 2.43-2.59
4 Ga 0.3333 0.6667 0.5830  7 Ni 2.43-2.59
5 Ga 0.3333 0.6667 0.9170  7 Ni 2.43-2.59
6 Ga 0.6667 0.3333 0.0830  7 Ni 2.43-2.59
7 Ni 0.0000 0.0000 0.5000  6 Ga 2.59, 6 Ni 2.80
8 Ni 0.0000 0.0000 0.0000  6 Ga 2.59, 6 Ni 2.80
9 Ni 0.6667 0.3333 0.6218  4 Ga 2.43-2.47
10 Ni 0.3333 0.6667 0.1218  4 Ga 2.43-2.47
11 Ni 0.6667 0.3333 0.8782  4 Ga 2.43-2.47
12 Ni 0.3333 0.6667 0.3782  4 Ga 2.43-2.47


| no. | ΔH_f (0 K) (meV/atom) |
| --- | --- |
| 1 | -335 |
| 2 | -564 |
| 3 | -532 |